[1]
La6P2SBr3 | the Alexandria database | GGA-PBE | optimized geometry; raw formation energy = -1.660 eV per atom; ρ = 5.679 g cm⁻³; size of the total moment = 0.00 μB/atom; calculated total energy = -5.787 eV/atom; space group = C2/m, No. 12
1.0
7.3244 -0.0020 -0.0001
-3.6622 6.3432 -0.0001
-1.2216 -2.1152 7.3462
La S P Br
6 1 2 3
direct
0.4021 0.0690 0.2072
0.9310 0.5979 0.7928
0.7365 0.7365 0.2079
0.0690 0.4021 0.2072
0.5979 0.9310 0.7928
0.2635 0.2635 0.7921
0.0000 0.0000 0.0000
0.6664 0.3336 0.0000
0.3336 0.6664 0.0000
0.5000 0.5000 0.5000
0.8313 0.1687 0.5000
0.1687 0.8313 0.5000

[2]
CaPrCdNi | the Alexandria database | GGA-PBE | optimized geometry; ρ = 5.894 g cm⁻³; size of the total moment = 0.00 μB/atom; calculated total energy = -3.534 eV/atom; space group = F-43m, No. 216
1.0
5.1960 0.0000 0.0000
2.5980 4.4998 0.0000
2.5980 1.4999 4.2425
Ca Pr Cd Ni
1 1 1 1
direct
0.0000 0.0000 0.0000
0.5000 0.5000 0.5000
0.7500 0.7500 0.7500
0.2500 0.2500 0.2500

[3]
Np2Al12Fe | the Alexandria database | GGA-PBE | optimized geometry; ρ = 5.099 g cm⁻³; size of the total moment = 0.49 μB/atom; calculated total energy = -5.336 eV/atom; space group = P4/nbm, No. 125
1.0
5.8534 0.0000 0.0000
0.0000 5.8534 0.0000
0.0000 0.0000 16.2278
Al Np Fe
24 4 2
direct
0.7502 0.2502 0.0816
0.8275 0.6725 0.4289
0.7498 0.2498 0.9184
0.3275 0.8275 0.4289
0.2498 0.2502 0.9184
0.6725 0.8275 0.5711
0.5000 0.5000 0.3357
0.8275 0.3275 0.5711
0.2502 0.7502 0.9184
0.7498 0.7502 0.0816
0.3275 0.1725 0.5711
0.7502 0.7498 0.9184
0.5000 0.5000 0.1846
0.0000 0.0000 0.1846
0.5000 0.5000 0.8154
0.2498 0.7498 0.0816
0.6725 0.1725 0.4289
0.2502 0.2498 0.0816
0.0000 0.0000 0.3357
0.0000 0.0000 0.8154
0.5000 0.5000 0.6643
0.1725 0.6725 0.5711
0.0000 0.0000 0.6643
0.1725 0.3275 0.4289
0.5000 0.0000 0.2426
0.5000 0.0000 0.7574
0.0000 0.5000 0.2426
0.0000 0.5000 0.7574
0.5000 0.0000 0.0000
0.0000 0.5000 0.0000

[4]
LiCaFe | the Alexandria database | GGA-PBE | optimized geometry; ρ = 2.586 g cm⁻³; size of the total moment = 0.18 μB/atom; calculated total energy = -3.820 eV/atom; space group = P2_1/m, No. 11; E above lowest polymorph = 0.16 eV per formula unit
1.0
-0.9074 1.2987 5.2101
-2.9244 -2.4100 0.0914
4.1170 -4.9663 0.7760
Fe Ca Li
2 2 2
direct
0.5708 0.2500 0.4629
0.4292 0.7500 0.5371
0.0574 0.2500 0.2777
0.9426 0.7500 0.7223
0.4764 0.2500 0.8369
0.5236 0.7500 0.1631

[5]
BaSn6Pb2 | the Alexandria database | GGA-PBE | optimized geometry; ρ = 7.693 g cm⁻³; size of the total moment = 0.00 μB/atom; calculated total energy = -3.843 eV/atom; space group = R-3m, No. 166; E above lowest polymorph = 0.00 eV per formula unit
1.0
-4.2584 2.8893 3.9876
2.2791 -4.0867 4.5239
4.6688 4.4458 0.8935
Sn Ba Pb
6 1 2
direct
0.5000 0.1743 0.8257
0.1738 0.4998 0.8257
0.8262 0.1743 0.5002
0.8262 0.5002 0.1743
0.5000 0.8257 0.1743
0.1738 0.8257 0.4998
0.0000 0.0000 0.0000
0.3436 0.3426 0.3426
0.6564 0.6574 0.6574

[6]
BeRhBr | the Alexandria database | GGA-PBE | optimized geometry; raw formation energy = 0.136 eV per atom; ρ = 6.704 g cm⁻³; size of the total moment = 0.00 μB/atom; calculated total energy = -4.114 eV/atom; space group = Pnma, No. 62; E above lowest polymorph = 1.69 eV per formula unit
1.0
-4.8713 -2.6696 1.2857
-1.6278 -1.2163 -8.6929
1.8171 -3.2600 0.1159
Br Be Rh
4 4 4
direct
0.0000 0.0000 0.0000
0.5000 0.0000 0.5000
0.0000 0.5000 0.0000
0.5000 0.5000 0.5000
0.4978 0.7500 0.2400
0.0022 0.2500 0.7400
0.9978 0.7500 0.2600
0.5022 0.2500 0.7600
0.7481 0.7500 0.7496
0.7519 0.2500 0.2496
0.2519 0.2500 0.2504
0.2481 0.7500 0.7504

[7]
Pa2RuAu | the Alexandria database | GGA-PBE | optimized geometry; ρ = 15.067 g cm⁻³; size of the total moment = 0.00 μB/atom; calculated total energy = -8.234 eV/atom; space group = P4/mmm, No. 123; E above lowest polymorph = 0.00 eV per formula unit
1.0
3.1395 0.0000 0.0000
0.0000 3.1395 0.0000
0.0000 0.0000 8.4992
Ru Pa Au
1 2 1
direct
0.5000 0.5000 0.0000
0.0000 0.0000 0.2276
0.0000 0.0000 0.7724
0.5000 0.5000 0.5000

[8]
Na2SrHgAs2 | the Alexandria database | GGA-PBE | optimized geometry; ρ = 5.201 g cm⁻³; size of the total moment = 0.00 μB/atom; calculated total energy = -2.938 eV/atom; space group = Pmc2_1, No. 26
1.0
-3.7904 -0.9892 -2.2826
4.2292 -1.9246 -6.1887
0.4341 -8.3132 2.8820
Hg As Na Sr
2 4 4 2
direct
0.5000 0.1444 0.6970
0.5000 0.6444 0.3030
0.0000 0.7473 0.1478
0.5000 0.2713 0.3777
0.0000 0.2473 0.8522
0.5000 0.7713 0.6223
0.0000 0.8634 0.8293
0.0000 0.3634 0.1707
0.5000 0.0367 0.0798
0.5000 0.5367 0.9202
0.0000 0.9825 0.4372
0.0000 0.4825 0.5628

[9]
Rb2TmSnSe5 | the Alexandria database | GGA-PBE | optimized geometry; raw formation energy = -1.006 eV per atom; ρ = 4.468 g cm⁻³; size of the total moment = 0.08 μB/atom; calculated total energy = -4.099 eV/atom; space group = Cmc2_1, No. 36
1.0
-2.2660 0.6703 3.3263
-0.4440 -10.4935 -0.6904
12.3082 -1.0869 8.6038
Se Sn Tm Rb
10 2 2 4
direct
0.9492 0.8984 0.5322
0.5006 0.0012 0.2802
0.6839 0.3678 0.8889
0.0508 0.1016 0.0322
0.3161 0.6322 0.3889
0.6953 0.3906 0.1507
0.3047 0.6094 0.6507
0.6673 0.3345 0.5100
0.4994 0.9988 0.7802
0.3327 0.6655 0.0100
0.4383 0.8766 0.4210
0.5617 0.1234 0.9210
0.7978 0.5955 0.5288
0.2022 0.4045 0.0288
0.1383 0.2766 0.3225
0.1314 0.2628 0.6897
0.8686 0.7372 0.1897
0.8617 0.7234 0.8225

[10]
Pm2Nd2SmDy4 | the Alexandria database | GGA-PBE | optimized geometry; ρ = 7.650 g cm⁻³; size of the total moment = 0.00 μB/atom; calculated total energy = -4.683 eV/atom; space group = C2/m, No. 12
1.0
-1.2928 1.1552 -3.2008
7.6334 -5.0972 -2.8527
-8.0826 -5.1190 1.4170
Pm Sm Nd Dy
2 1 2 4
direct
0.8529 0.7058 0.3368
0.1471 0.2942 0.6632
0.0000 0.0000 0.0000
0.6660 0.3319 0.0015
0.3340 0.6681 0.9985
0.5195 0.0389 0.3332
0.1852 0.3704 0.3359
0.8148 0.6296 0.6641
0.4805 0.9611 0.6668

[11]
AcLaH4 | the Alexandria database | GGA-PBE | optimized geometry; ρ = 6.441 g cm⁻³; size of the total moment = 0.00 μB/atom; calculated total energy = -4.356 eV/atom; space group = I4_1/amd, No. 141
1.0
5.2614 0.0000 -2.3660
-1.0640 5.1527 -2.3660
0.0008 0.0009 7.0347
H Ac La
8 2 2
direct
0.3750 0.8873 0.2500
0.8750 0.8873 0.2500
0.1127 0.1250 0.7500
0.1127 0.6250 0.7500
0.8750 0.3627 0.2500
0.6373 0.6250 0.7500
0.3750 0.3627 0.2500
0.6373 0.1250 0.7500
0.2500 0.7500 0.5000
0.5000 0.5000 0.0000
0.7500 0.2500 0.5000
0.0000 0.0000 0.0000

[12]
Li2ZnRu | the Alexandria database | GGA-PBE | optimized geometry; ρ = 5.498 g cm⁻³; size of the total moment = 0.17 μB/atom; calculated total energy = -3.502 eV/atom; space group = F-43m, No. 216
1.0
-1.0527 -1.2211 -3.9378
2.2307 -3.0555 -1.9477
-1.7463 -3.8261 -0.6456
Li Zn Ru
2 1 1
direct
0.0000 0.0000 0.0000
0.2500 0.2500 0.2500
0.7500 0.7500 0.7500
0.5000 0.5000 0.5000

Copy entry 3 word for word.
Np2Al12Fe | the Alexandria database | GGA-PBE | optimized geometry; ρ = 5.099 g cm⁻³; size of the total moment = 0.49 μB/atom; calculated total energy = -5.336 eV/atom; space group = P4/nbm, No. 125
1.0
5.8534 0.0000 0.0000
0.0000 5.8534 0.0000
0.0000 0.0000 16.2278
Al Np Fe
24 4 2
direct
0.7502 0.2502 0.0816
0.8275 0.6725 0.4289
0.7498 0.2498 0.9184
0.3275 0.8275 0.4289
0.2498 0.2502 0.9184
0.6725 0.8275 0.5711
0.5000 0.5000 0.3357
0.8275 0.3275 0.5711
0.2502 0.7502 0.9184
0.7498 0.7502 0.0816
0.3275 0.1725 0.5711
0.7502 0.7498 0.9184
0.5000 0.5000 0.1846
0.0000 0.0000 0.1846
0.5000 0.5000 0.8154
0.2498 0.7498 0.0816
0.6725 0.1725 0.4289
0.2502 0.2498 0.0816
0.0000 0.0000 0.3357
0.0000 0.0000 0.8154
0.5000 0.5000 0.6643
0.1725 0.6725 0.5711
0.0000 0.0000 0.6643
0.1725 0.3275 0.4289
0.5000 0.0000 0.2426
0.5000 0.0000 0.7574
0.0000 0.5000 0.2426
0.0000 0.5000 0.7574
0.5000 0.0000 0.0000
0.0000 0.5000 0.0000

Question: Look up the size of the total moment of the eleventh one.
Answer: 0.00 μB/atom

Question: Number 5 is which compound?
Answer: BaSn6Pb2